1.
This record from the Alexandria database describes LiNdGa2Au after structural relaxation. The functional is PBE.

Geometry as extended XYZ:
```
5
Lattice="-2.147 2.147 5.454 2.147 -2.147 5.454 2.147 2.147 -5.454" Properties=species:S:1:pos:R:3 pbc="T T T"
Li 0.000 0.000 0.000
Nd 2.147 0.000 2.727
Ga 0.000 2.147 1.492
Ga 0.000 2.147 3.962
Au 0.000 0.000 5.454
```

E_tot = -0.1387 hartree per atom
space group = I-4m2 (119)
D(E_F) = 3.57 states/eV per cell
energy of formation from the pure elements = -276 kJ/mol of formula units
crystal system = tetragonal



2.
This record from the Alexandria database describes LiNd2GaAu6 after structural relaxation. The functional is PBE.

Geometry as extended XYZ:
```
10
Lattice="5.517 0.000 0.000 2.690 6.259 0.000 2.710 -0.054 6.380" Properties=species:S:1:pos:R:3 pbc="T T T"
Li 0.000 0.000 0.000
Nd 5.479 1.663 4.885
Nd 5.437 4.543 1.495
Ga 2.700 3.103 3.190
Au 1.341 1.743 1.339
Au 2.709 0.543 3.845
Au 6.818 4.521 5.005
Au 4.098 1.685 1.375
Au 8.207 5.663 2.535
Au 9.575 4.462 5.041
```

E_tot = -0.1436 hartree per atom
space group = P-1 (2)
D(E_F) = 5.43 states/eV per cell
energy of formation from the pure elements = -475 kJ/mol of formula units
crystal system = triclinic



3.
This record from the Alexandria database describes LiNdGa2Au2 after structural relaxation. The functional is PBE.

Geometry as extended XYZ:
```
6
Lattice="4.528 0.000 0.000 -2.264 3.922 0.000 0.000 0.000 6.689" Properties=species:S:1:pos:R:3 pbc="T T T"
Li 0.000 0.000 0.000
Nd 0.000 0.000 3.345
Ga 0.000 2.614 1.357
Ga 2.264 1.307 5.332
Au 0.000 2.614 5.248
Au 2.264 1.307 1.441
```

E_tot = -0.1419 hartree per atom
space group = P-3m1 (164)
D(E_F) = 3.27 states/eV per cell
energy of formation from the pure elements = -373 kJ/mol of formula units
crystal system = trigonal



4.
This record from the Alexandria database describes LiGa2NiAu after structural relaxation. The functional is PBE.

Geometry as extended XYZ:
```
5
Lattice="4.470 0.000 0.000 0.000 4.470 0.000 0.000 0.000 5.027" Properties=species:S:1:pos:R:3 pbc="T T T"
Li 0.000 0.000 0.000
Ga 0.000 2.235 2.513
Ga 2.235 0.000 2.513
Ni 2.235 2.235 2.513
Au 2.235 2.235 0.000
```

energy above the lowest structure with this stoichiometry = 0.000 eV/atom
E_tot = -0.1290 hartree per atom
space group = P4/mmm (123)
D(E_F) = 1.90 states/eV per cell
energy of formation from the pure elements = -50 kJ/mol of formula units
crystal system = tetragonal



5.
This record from the Alexandria database describes LiNpGa2Au4 after structural relaxation. The functional is PBE.

Geometry as extended XYZ:
```
8
Lattice="2.277 1.314 8.318 -2.277 1.314 8.318 0.000 -2.629 8.318" Properties=species:S:1:pos:R:3 pbc="T T T"
Li 0.000 0.000 0.000
Np 0.000 0.000 12.477
Ga 0.000 0.000 6.357
Ga 0.000 0.000 18.596
Au 0.000 0.000 2.649
Au 0.000 0.000 9.138
Au 0.000 0.000 15.815
Au 0.000 0.000 22.304
```

E_tot = -0.1674 hartree per atom
space group = R-3m (166)
D(E_F) = 13.75 states/eV per cell
energy of formation from the pure elements = -234 kJ/mol of formula units
crystal system = trigonal



6.
This record from the Alexandria database describes LiGa3Pb2Au4 after structural relaxation. The functional is PBE.

Geometry as extended XYZ:
```
10
Lattice="4.387 0.000 0.000 0.000 4.387 0.000 0.000 0.000 11.093" Properties=species:S:1:pos:R:3 pbc="T T T"
Li 0.000 0.000 0.000
Ga 0.000 2.194 4.055
Ga 2.194 0.000 7.038
Ga 2.194 2.194 0.000
Pb 0.000 2.194 8.328
Pb 2.194 0.000 2.765
Au 0.000 0.000 5.546
Au 0.000 2.194 1.496
Au 2.194 0.000 9.597
Au 2.194 2.194 5.546
```

E_tot = -0.1241 hartree per atom
space group = P-4m2 (115)
D(E_F) = 2.53 states/eV per cell
energy of formation from the pure elements = -218 kJ/mol of formula units
crystal system = tetragonal



7.
This record from the Alexandria database describes LiGa3Pb2Au12 after structural relaxation. The functional is PBE.

Geometry as extended XYZ:
```
18
Lattice="4.372 2.524 6.125 -4.372 2.524 6.125 0.000 -5.049 6.125" Properties=species:S:1:pos:R:3 pbc="T T T"
Li 0.000 0.000 0.000
Ga -4.372 0.000 9.188
Ga -2.186 1.262 3.063
Ga 2.186 1.262 3.063
Pb 0.000 0.000 7.456
Pb 0.000 0.000 10.919
Au -2.431 -1.404 8.192
Au 0.000 -2.430 5.683
Au -2.105 1.215 5.683
Au 0.000 -2.807 10.183
Au -2.431 1.404 10.183
Au -2.105 -1.215 12.692
Au 2.105 1.215 5.683
Au 2.431 -1.404 8.192
Au 0.000 2.807 8.192
Au 2.105 -1.215 12.692
Au 0.000 2.430 12.692
Au 2.431 1.404 10.183
```

E_tot = -0.1178 hartree per atom
space group = R-3m (166)
D(E_F) = 7.76 states/eV per cell
energy of formation from the pure elements = 2 kJ/mol of formula units
crystal system = trigonal



8.
This record from the Alexandria database describes LiGa2PdAu4 after structural relaxation. The functional is PBE.

Geometry as extended XYZ:
```
8
Lattice="3.862 0.000 0.000 0.000 3.862 0.000 0.000 0.000 10.110" Properties=species:S:1:pos:R:3 pbc="T T T"
Li 0.000 0.000 0.000
Ga 1.931 1.931 3.828
Ga 1.931 1.931 6.282
Pd 0.000 0.000 5.055
Au 0.000 1.931 1.981
Au 0.000 1.931 8.129
Au 1.931 0.000 1.981
Au 1.931 0.000 8.129
```

E_tot = -0.1254 hartree per atom
space group = P4/mmm (123)
D(E_F) = 1.97 states/eV per cell
energy of formation from the pure elements = -100 kJ/mol of formula units
crystal system = tetragonal



9.
This record from the Alexandria database describes LiGaPd2Au after structural relaxation. The functional is PBE.

Geometry as extended XYZ:
```
5
Lattice="5.147 0.000 0.000 0.000 5.147 0.000 0.000 0.000 4.734" Properties=species:S:1:pos:R:3 pbc="T T T"
Li 0.000 0.000 0.000
Ga 2.573 2.573 0.000
Pd 0.000 2.573 2.367
Pd 2.573 0.000 2.367
Au 2.573 2.573 2.367
```

E_tot = -0.1216 hartree per atom
space group = P4/mmm (123)
D(E_F) = 4.09 states/eV per cell
energy of formation from the pure elements = 198 kJ/mol of formula units
crystal system = tetragonal



10.
This record from the Alexandria database describes Li3Ga4Pd2Au2 after structural relaxation. The functional is PBE.

Geometry as extended XYZ:
```
11
Lattice="4.430 0.000 0.000 -2.215 3.836 0.000 0.000 0.000 10.531" Properties=species:S:1:pos:R:3 pbc="T T T"
Li 0.000 0.000 0.000
Li 0.000 0.000 3.020
Li 0.000 0.000 7.511
Ga 0.000 2.558 3.712
Ga 0.000 2.558 8.779
Ga 2.215 1.279 1.752
Ga 2.215 1.279 6.819
Pd 0.000 2.558 6.230
Pd 2.215 1.279 4.301
Au 0.000 2.558 0.992
Au 2.215 1.279 9.539
```

E_tot = -0.1340 hartree per atom
space group = P-3m1 (164)
D(E_F) = 3.18 states/eV per cell
energy of formation from the pure elements = -513 kJ/mol of formula units
crystal system = trigonal



11.
This record from the Alexandria database describes LiPmGaAu2 after structural relaxation. The functional is PBE.

Geometry as extended XYZ:
```
5
Lattice="-2.005 2.005 6.378 2.005 -2.005 6.378 2.005 2.005 -6.378" Properties=species:S:1:pos:R:3 pbc="T T T"
Li 0.000 0.000 0.000
Pm 2.005 0.000 3.189
Ga 0.000 0.000 6.378
Au 0.000 2.005 1.765
Au 0.000 2.005 4.612
```

E_tot = -0.1429 hartree per atom
space group = I-4m2 (119)
D(E_F) = 3.33 states/eV per cell
energy of formation from the pure elements = -309 kJ/mol of formula units
crystal system = tetragonal



12.
This record from the Alexandria database describes LiPmGa4Au2 after structural relaxation. The functional is PBE.

Geometry as extended XYZ:
```
8
Lattice="2.218 1.281 8.710 -2.218 1.281 8.710 0.000 -2.561 8.710" Properties=species:S:1:pos:R:3 pbc="T T T"
Li 0.000 0.000 0.000
Pm 0.000 0.000 13.064
Ga 0.000 0.000 2.759
Ga 0.000 0.000 9.761
Ga 0.000 0.000 16.368
Ga 0.000 0.000 23.370
Au 0.000 0.000 6.958
Au 0.000 0.000 19.170
```

E_tot = -0.1335 hartree per atom
space group = R-3m (166)
D(E_F) = 2.22 states/eV per cell
energy of formation from the pure elements = -360 kJ/mol of formula units
crystal system = trigonal